(1)
! NaSb2ICl (GGA-PBE, relaxed); values from VASP
&SYSTEM
  ibrav = 0, nat = 5, ntyp = 4
/
ATOMIC_SPECIES
Sb 121.76 Sb.upf
Na 22.99 Na.upf
Cl 35.45 Cl.upf
I 126.90 I.upf
ATOMIC_POSITIONS crystal
Sb 0.000 0.500 0.000
Sb 0.500 0.000 0.000
Na 0.000 0.000 0.000
Cl 0.500 0.500 0.500
I 0.000 0.000 0.500
CELL_PARAMETERS angstrom
-0.309 -0.202 5.544
-5.493 -0.764 -0.334
0.774 -5.493 -0.157
! - volume (Å³/atom) = 34.26


(2)
! NaSbI2Cl (GGA-PBE, relaxed); values from VASP
&SYSTEM
  ibrav = 0, nat = 5, ntyp = 4
/
ATOMIC_SPECIES
Cl 35.45 Cl.upf
I 126.90 I.upf
Sb 121.76 Sb.upf
Na 22.99 Na.upf
ATOMIC_POSITIONS crystal
Cl 0.000 0.000 0.000
I 0.500 0.000 0.000
I 0.000 0.000 0.500
Sb 0.000 0.500 0.000
Na 0.500 0.500 0.500
CELL_PARAMETERS angstrom
6.887 0.000 0.000
0.000 4.916 0.000
0.000 0.000 6.887
! - volume (Å³/atom) = 46.63


(3)
! NaSbI2Cl (GGA-PBE, relaxed); values from VASP
&SYSTEM
  ibrav = 0, nat = 5, ntyp = 4
/
ATOMIC_SPECIES
I 126.90 I.upf
Sb 121.76 Sb.upf
Cl 35.45 Cl.upf
Na 22.99 Na.upf
ATOMIC_POSITIONS crystal
I 0.500 0.000 0.000
I 0.000 0.500 0.000
Sb 0.000 0.000 0.500
Cl 0.500 0.500 0.500
Na 0.000 0.000 0.000
CELL_PARAMETERS angstrom
-3.938 3.840 0.899
-3.646 -4.030 1.240
1.709 0.327 6.089
! - volume (Å³/atom) = 39.35


The following final energy values (in eV per atom) correspond, in order, to the records above: -2.10, -2.07, -1.83.
The following total magnetization values (in μB/f.u.) correspond, in order, to the records above: 0.00, 0.00, 1.49.
The following energy above the lowest structure with this stoichiometry values (in eV per formula unit) correspond, in order, to the records above: 1.60, 0.00, 1.24.